Here is a relaxed Hf2Ru2F crystal from the Alexandria database. Energies are from PBE-GGA.

```
Hf2Ru2F
1.0
-1.835 1.980 4.268
-3.848 -3.268 -0.138
-0.864 -3.056 4.034
Ru Hf F
2 2 1
Direct
0.334 0.334 0.332 Ru
0.666 0.666 0.668 Ru
0.750 0.250 0.500 Hf
0.250 0.750 0.500 Hf
0.000 0.000 0.000 F
```

Output
- space-group type = No. 139
- raw formation energy (meV per atom) = -112

---

Here is a relaxed Ag2AsP crystal from the Alexandria database. Energies are from PBE-GGA.

```
Ag2AsP
1.0
3.369 0.000 0.000
0.000 2.795 0.053
0.000 1.472 8.131
Ag As P
2 1 1
Direct
0.000 0.695 0.999 Ag
0.500 0.060 0.238 Ag
0.000 0.935 0.526 As
0.500 0.810 0.737 P
```

Output
- space-group type = No. 6
- energy relative to the elements (kJ per mole of atoms) = 21.0

---

Here is a relaxed La2PrSm6 crystal from the Alexandria database. Energies are from PBE-GGA.

```
La2PrSm6
1.0
-2.845 1.469 -1.589
-9.154 -6.233 -5.445
-11.760 -1.900 3.225
La Pr Sm
2 1 6
Direct
0.333 0.667 0.667 La
0.667 0.333 0.333 La
0.000 0.000 0.000 Pr
0.835 0.333 0.000 Sm
0.165 0.000 0.667 Sm
0.165 0.667 0.000 Sm
0.500 0.332 0.668 Sm
0.835 0.000 0.333 Sm
0.500 0.668 0.332 Sm
```

Output
- space-group type = No. 65
- energy relative to the elements (kJ per mole of atoms) = 5.0

---

Here is a relaxed Li2CaOs crystal from the Alexandria database. Energies are from PBE-GGA.

```
Li2CaOs
1.0
-1.510 -0.078 -2.210
-1.416 -3.723 1.099
-5.223 3.009 3.462
Ca Li Os
1 2 1
Direct
0.500 0.500 0.701 Ca
0.000 0.000 0.070 Li
0.500 0.500 0.275 Li
0.000 0.000 0.454 Os
```

Output
- space-group type = No. 25
- energy relative to the elements (kJ per mole of atoms) = 36.7

---

Here is a relaxed MgGaAsBr2 crystal from the Alexandria database. Energies are from PBE-GGA.

```
MgGaAsBr2
1.0
-4.086 -2.966 -1.840
-1.617 -0.902 5.045
-3.044 4.320 -0.203
Mg As Ga Br
1 1 1 2
Direct
0.000 0.000 0.000 Mg
0.000 0.000 0.500 As
0.500 0.500 0.500 Ga
0.000 0.500 0.000 Br
0.500 0.000 0.000 Br
```

Output
- space-group type = No. 123
- raw formation energy (meV per atom) = -254

---

Here is a relaxed Be2Ni5B crystal from the Alexandria database. Energies are from PBE-GGA.

```
Be2Ni5B
1.0
3.525 0.000 0.000
0.000 4.710 0.000
0.000 0.000 8.819
Be Ni B
4 10 2
Direct
0.500 0.367 0.356 Be
0.500 0.633 0.644 Be
0.500 0.133 0.856 Be
0.500 0.867 0.144 Be
0.500 0.331 0.101 Ni
0.500 0.669 0.899 Ni
0.500 0.831 0.399 Ni
0.500 0.169 0.601 Ni
0.000 0.882 0.722 Ni
0.000 0.118 0.278 Ni
0.000 0.382 0.778 Ni
0.000 0.618 0.222 Ni
0.000 0.500 0.500 Ni
0.000 0.000 0.000 Ni
0.000 0.000 0.500 B
0.000 0.500 0.000 B
```

Output
- space-group type = No. 55
- energy relative to the elements (kJ per mole of atoms) = -31.9

---

Here is a relaxed Li3CuPd crystal from the Alexandria database. Energies are from PBE-GGA.

```
Li3CuPd
1.0
4.646 0.000 0.000
0.000 4.646 0.000
0.000 0.000 4.646
Cu Pd Li
1 1 3
Direct
0.500 0.500 0.500 Cu
0.000 0.000 0.000 Pd
0.000 0.500 0.000 Li
0.000 0.000 0.500 Li
0.500 0.000 0.000 Li
```

Output
- space-group type = No. 221
- energy relative to the elements (kJ per mole of atoms) = 21.8

---

Here is a relaxed Hf2Al5Co2Pd crystal from the Alexandria database. Energies are from PBE-GGA.

```
Hf2Al5Co2Pd
1.0
-2.141 2.554 2.096
-7.058 -1.797 -5.022
-2.301 -6.489 5.555
Hf Al Co Pd
4 10 4 2
Direct
0.000 0.677 0.177 Hf
0.000 0.323 0.823 Hf
0.000 0.177 0.323 Hf
0.000 0.823 0.677 Hf
0.500 0.209 0.067 Al
0.500 0.791 0.933 Al
0.500 0.067 0.791 Al
0.500 0.709 0.433 Al
0.500 0.933 0.209 Al
0.500 0.291 0.567 Al
0.500 0.567 0.709 Al
0.500 0.433 0.291 Al
0.500 0.500 0.000 Al
0.500 0.000 0.500 Al
0.000 0.116 0.616 Co
0.000 0.884 0.384 Co
0.000 0.616 0.884 Co
0.000 0.384 0.116 Co
0.000 0.000 0.000 Pd
0.000 0.500 0.500 Pd
```

Output
- space-group type = No. 127
- energy relative to the elements (kJ per mole of atoms) = -55.5

---

Here is a relaxed AcTb2Dy7 crystal from the Alexandria database. Energies are from PBE-GGA.

```
AcTb2Dy7
1.0
5.153 -1.685 0.794
-2.739 7.619 -3.889
1.476 0.048 9.441
Ac Tb Dy
1 2 7
Direct
0.000 0.000 0.000 Ac
0.499 0.699 0.399 Tb
0.501 0.301 0.601 Tb
0.000 0.797 0.593 Dy
0.000 0.203 0.407 Dy
0.246 0.635 0.778 Dy
0.754 0.365 0.222 Dy
0.245 0.856 0.222 Dy
0.755 0.144 0.778 Dy
0.500 0.500 0.000 Dy
```

Output
- space-group type = No. 12
- energy relative to the elements (kJ per mole of atoms) = 5.3

---

Here is a relaxed LiPr3P2N6 crystal from the Alexandria database. Energies are from PBE-GGA.

```
LiPr3P2N6
1.0
-5.298 0.972 -1.756
2.085 -5.268 -0.067
-2.072 -0.893 5.755
Li Pr P N
1 3 2 6
Direct
0.000 0.000 0.500 Li
0.333 0.667 0.651 Pr
0.667 0.333 0.349 Pr
0.000 0.000 0.000 Pr
0.667 0.333 0.805 P
0.333 0.667 0.195 P
0.646 0.823 0.287 N
0.177 0.354 0.287 N
0.177 0.823 0.287 N
0.823 0.646 0.713 N
0.354 0.177 0.713 N
0.823 0.177 0.713 N
```

Output
- space-group type = No. 164
- raw formation energy (meV per atom) = -891

---

Here is a relaxed LiTlS crystal from the Alexandria database. Energies are from PBE-GGA.

```
LiTlS
1.0
3.972 -0.195 0.048
0.193 3.972 0.048
-0.125 -0.113 8.660
Li Tl S
2 2 2
Direct
0.750 0.250 0.000 Li
0.250 0.750 0.000 Li
0.251 0.251 0.331 Tl
0.749 0.749 0.669 Tl
0.751 0.751 0.166 S
0.249 0.249 0.834 S
```

Output
- space-group type = No. 12
- raw formation energy (meV per atom) = -804

---

Here is a relaxed AlPbS2 crystal from the Alexandria database. Energies are from PBE-GGA.

```
AlPbS2
1.0
8.300 0.000 0.000
0.000 3.423 0.000
0.000 0.000 13.465
Pb S Al
4 8 4
Direct
0.023 0.250 0.617 Pb
0.477 0.750 0.117 Pb
0.977 0.750 0.383 Pb
0.523 0.250 0.883 Pb
0.664 0.250 0.551 S
0.836 0.750 0.051 S
0.336 0.750 0.449 S
0.164 0.250 0.949 S
0.354 0.250 0.695 S
0.146 0.750 0.195 S
0.646 0.750 0.305 S
0.854 0.250 0.805 S
0.527 0.250 0.400 Al
0.973 0.750 0.900 Al
0.473 0.750 0.600 Al
0.027 0.250 0.100 Al
```

Output
- space-group type = No. 62
- raw formation energy (meV per atom) = -725

---

Let's list M_tot in order: 0.098 0.000 0.000 0.000 0.387 0.000 0.000 0.000 0.000 0.000 0.000 0.000 μB/atom.